Entry 1:
A relaxed Pm4SiPCl2 crystal, computed with GGA-PBE.

Structure (POSCAR):
```
Pm4SiPCl2
1.0
-4.1210 -0.3914 0.3184
0.8296 -6.6628 2.5472
-0.0153 4.7364 5.6242
Pm Cl Si P
4 2 1 1
Cartesian
-1.8623 -0.7752 2.0126
0.2073 1.9536 5.0854
-1.4445 -1.5426 6.4772
0.6069 -3.8800 3.0860
-2.0682 2.1725 2.9713
0.4071 -0.9632 4.0857
0.0000 0.0000 0.0000
-1.6457 -3.5271 1.4328
```

* space group: No. 10

Entry 2:
A relaxed Pm6Si2PCl3 crystal, computed with GGA-PBE.

Structure (POSCAR):
```
Pm6Si2PCl3
1.0
4.1718 0.0000 0.0000
0.0000 8.4275 0.2383
-2.0859 -2.4988 8.8315
Cl Si Pm P
3 2 6 1
Cartesian
0.0000 6.1895 3.1564
2.0859 -0.2608 5.9135
2.0859 4.2138 0.1192
0.0000 1.9624 3.0163
2.0859 3.9663 6.0536
2.0859 0.0155 2.8242
2.0859 3.9254 3.1802
0.0000 5.9132 6.2456
0.0000 2.0033 5.8896
0.0000 1.8950 0.1668
2.0859 4.0337 8.9031
2.0859 0.0000 0.0000
```

* space group: No. 12

Entry 3:
A relaxed TbPmPCl crystal, computed with GGA-PBE.

Structure (POSCAR):
```
TbPmPCl
1.0
-0.1557 -0.8470 -3.8967
2.2598 -2.2127 2.4346
-6.1425 -3.0303 2.9475
Tb Pm Cl P
1 1 1 1
Cartesian
1.6573 -2.4380 2.1213
-3.7761 -2.7283 0.3578
-1.4802 -2.7315 -1.7757
-4.2028 -4.1550 2.7287
```

* space group: No. 160

Entry 4:
A relaxed Pm4Te2PCl crystal, computed with GGA-PBE.

Structure (POSCAR):
```
Pm4Te2PCl
1.0
4.2159 0.0000 0.0000
0.0000 7.5370 -0.2353
0.0000 2.5721 6.9657
Pm Cl Te P
4 1 2 1
Cartesian
4.2159 2.7923 1.7453
0.0001 7.3168 4.9852
2.1080 6.0750 1.7703
2.1080 4.0341 4.9602
2.1080 6.3406 6.8481
0.0000 2.5721 6.9657
2.1079 1.2861 3.4829
0.0000 5.0545 3.3653
```

* space group: No. 10

Entry 5:
A relaxed Pm3TePCl crystal, computed with GGA-PBE.

Structure (POSCAR):
```
Pm3TePCl
1.0
-0.3517 -1.6332 3.8138
1.0709 -8.0688 -3.3565
9.5029 1.6077 1.5649
Pm Te P Cl
6 2 2 2
Cartesian
8.2662 -0.1454 1.8365
1.5751 -4.2944 1.7155
4.7653 -5.0845 -0.6014
8.6470 -3.7999 0.3067
5.4568 -3.0098 2.6236
1.9559 -7.9489 0.1857
8.3611 -6.8613 1.2421
1.8609 -1.2329 0.7801
8.2422 -2.7831 2.9775
1.9799 -5.3111 -0.9554
4.7185 -7.6002 0.5897
5.5036 -0.4940 1.4324
```

* space group: No. 11

Entry 6:
A relaxed Pm8Te4P3Cl crystal, computed with GGA-PBE.

Structure (POSCAR):
```
Pm8Te4P3Cl
1.0
-2.1580 -4.8308 -6.6078
4.9584 -6.4680 3.1093
-6.0057 3.3186 4.9573
Cl Pm Te P
1 8 4 3
Cartesian
2.4792 -3.2340 1.5547
0.0656 -4.1719 3.0286
-3.2709 -3.8084 -1.5697
-0.9118 -6.5839 -0.3110
-2.2935 -1.3963 1.7698
0.6343 -3.0850 -0.7801
-3.8395 -4.8953 2.2390
-2.8072 -2.5844 5.3999
-0.3980 -5.3959 -3.9411
-4.0818 -0.7561 -0.8252
-3.0028 1.6593 2.4787
-1.0790 -2.4154 -3.3039
0.0000 0.0000 0.0000
-1.6026 -3.9901 0.7294
1.4002 -5.6494 -1.7492
-0.5237 -1.5747 4.0333
```

* space group: No. 166

Entry 7:
A relaxed Pr7PCl12 crystal, computed with GGA-PBE.

Structure (POSCAR):
```
Pr7PCl12
1.0
9.6487 0.0000 2.7919
-4.4036 7.3989 3.1728
0.8415 0.0000 9.1375
Pr Cl P
7 12 1
Cartesian
2.4756 2.1907 9.0463
4.8243 0.0000 1.3960
-1.6265 5.8343 11.1773
-3.5227 6.7728 5.6847
9.6093 0.6261 9.4175
3.6110 5.2082 6.0559
7.7131 1.5646 3.9249
7.3909 2.2288 10.4533
0.4930 3.9391 10.1613
4.3988 4.4937 8.7088
-2.5120 6.3650 8.5004
1.3773 6.7664 7.1446
4.7093 0.6325 7.9576
3.2918 5.8026 12.5738
8.5986 1.0339 6.6018
1.6878 2.9052 6.3934
-1.3043 5.1701 4.6489
5.5936 3.4597 4.9409
2.7948 1.5963 2.5284
0.0000 0.0000 0.0000
```

* space group: No. 148

Entry 8:
A relaxed Pr2PCl3 crystal, computed with GGA-PBE.

Structure (POSCAR):
```
Pr2PCl3
1.0
-1.6321 -3.1607 2.6490
-4.8257 -4.9858 -5.2093
6.9896 -8.2529 -1.8276
Cl Pr P
6 4 2
Cartesian
-1.2939 -11.6953 -3.6129
2.6076 -13.7138 -3.6175
-2.0759 -2.6855 -0.7704
-3.6777 -9.4491 -2.4017
1.8257 -4.7041 -0.7750
4.2095 -6.9502 -1.9862
-1.1249 -8.7962 -3.7626
-1.6098 -4.6273 -2.8001
2.1416 -11.7720 -1.5878
1.6567 -7.6031 -0.6253
1.4847 -9.3721 -2.8420
-0.9529 -7.0272 -1.5459
```

* space group: No. 12

| no. | total energy (eV per atom) |
| --- | --- |
| 1 | -5.592 |
| 2 | -5.518 |
| 3 | -5.728 |
| 4 | -5.557 |
| 5 | -5.549 |
| 6 | -5.838 |
| 7 | -5.088 |
| 8 | -5.332 |